Nd6InHg5: optimized geometry, PBE-GGA.

a b c (Å): 5.419 7.739 8.585
angles (deg): 90.00 108.49 90.00
Atoms (fractional coordinates):
1 Nd 0.000 0.247 0.000
2 Nd 0.000 0.753 0.000
3 Nd 0.333 0.250 0.665
4 Nd 0.333 0.750 0.665
5 Nd 0.667 0.250 0.335
6 Nd 0.667 0.750 0.335
7 In 0.500 0.500 0.000
8 Hg 0.164 0.500 0.329
9 Hg 0.166 0.000 0.333
10 Hg 0.500 0.000 0.000
11 Hg 0.834 0.000 0.667
12 Hg 0.836 0.500 0.671

formation enthalpy at 0 K	-0.4712	eV per atom
DOS(E_F)	1.08	states/eV/atom